Entry 1:
Material: Rb6AuCl4
Method: DFT, PBE-GGA
State: optimized geometry

Lattice parameters (Å, degrees): 4.7138 8.2852 24.5957 90.00 90.00 106.53
Positions (direct):
Rb1 0.5000 0.0000 0.0000
Rb2 0.5000 0.0000 0.5000
Rb3 0.0447 0.0894 0.3381
Rb4 0.9553 0.9106 0.6619
Rb5 0.9553 0.9106 0.8381
Rb6 0.0447 0.0894 0.1619
Rb7 0.7730 0.5460 0.4175
Rb8 0.2270 0.4540 0.5825
Rb9 0.2270 0.4540 0.9175
Rb10 0.7730 0.5460 0.0825
Rb11 0.3231 0.6462 0.2500
Rb12 0.6769 0.3538 0.7500
Au1 0.6544 0.3088 0.2500
Au2 0.3456 0.6912 0.7500
Cl1 0.8627 0.7253 0.5413
Cl2 0.4058 0.8116 0.1218
Cl3 0.1373 0.2747 0.4587
Cl4 0.5942 0.1884 0.8782
Cl5 0.8627 0.7253 0.9587
Cl6 0.1373 0.2747 0.0413
Cl7 0.5942 0.1884 0.6218
Cl8 0.4058 0.8116 0.3782

Results
* final energy: -2.93 eV/atom
* DOS(E_F): 6.46 states/eV per cell

Entry 2:
Material: RbAuCl5
Method: DFT, PBE-GGA
State: optimized geometry

Lattice parameters (Å, degrees): 7.5083 7.5083 10.3795 69.77 69.77 56.36
Positions (direct):
Rb1 0.4999 0.5001 0.2500
Rb2 0.5001 0.4999 0.7500
Au1 0.0000 0.0000 0.0000
Au2 0.0000 0.0000 0.5000
Cl1 0.0987 0.6292 0.0680
Cl2 0.1025 0.6283 0.5674
Cl3 0.6292 0.0987 0.5680
Cl4 0.0001 0.9999 0.2500
Cl5 0.3717 0.8975 0.9326
Cl6 0.6283 0.1025 0.0674
Cl7 0.9999 0.0001 0.7500
Cl8 0.3708 0.9013 0.4320
Cl9 0.8975 0.3717 0.4326
Cl10 0.9013 0.3708 0.9320

Results
* final energy: -2.64 eV/atom

Entry 3:
Material: Rb4AuCl3
Method: DFT, PBE-GGA
State: optimized geometry

Lattice parameters (Å, degrees): 4.7855 8.3488 8.3488 70.78 89.98 89.98
Positions (direct):
Au1 0.5000 0.5001 0.0000
Rb1 0.0000 0.7611 0.7390
Rb2 0.5004 0.7550 0.2549
Rb3 0.0000 0.2392 0.2609
Rb4 0.4995 0.2452 0.7451
Cl1 0.5000 0.0001 0.4999
Cl2 0.9999 0.0001 0.0000
Cl3 0.0000 0.5001 0.5000

Results
* final energy: -3.10 eV/atom
* DOS(E_F): 0.00 states/eV per cell

Entry 4:
Material: Rb6Au3Cl
Method: DFT, PBE-GGA
State: optimized geometry

Lattice parameters (Å, degrees): 8.3062 9.2875 12.3903 90.00 91.58 90.00
Positions (direct):
Rb1 0.6781 0.1769 0.9209
Rb2 0.6656 0.1865 0.5682
Rb3 0.6503 0.4430 0.2581
Rb4 0.3497 0.5570 0.7419
Rb5 0.3344 0.8135 0.4318
Rb6 0.3219 0.8231 0.0791
Rb7 0.1781 0.3231 0.4209
Rb8 0.1656 0.3135 0.0682
Rb9 0.1503 0.0570 0.7581
Rb10 0.8497 0.9430 0.2419
Rb11 0.8344 0.6865 0.9318
Rb12 0.8219 0.6769 0.5791
Au1 0.5464 0.8958 0.7378
Au2 0.5000 0.5000 0.0000
Au3 0.4536 0.1042 0.2622
Au4 0.0464 0.6042 0.2378
Au5 0.0000 0.0000 0.5000
Au6 0.9536 0.3958 0.7622
Cl1 0.5000 0.5000 0.5000
Cl2 0.0000 0.0000 0.0000

Results
* final energy: -2.27 eV/atom
* DOS(E_F): 12.42 states/eV per cell

Which of these has the lowest final energy?
Rb4AuCl3